Below is NpCu3Si2 after structural relaxation, with properties calculated at the PBE level.

Computed properties:
SG: C2/m (12)
Raw formation energy, eV per atom: -0.194
Size of the total moment, μB per cell: 7.5

```
NpCu3Si2
1.0
3.7216 0.0000 1.0245
0.8637 6.8358 4.1340
-0.0705 0.5462 7.5276
Np Cu Si
2 6 4
Direct
0.8485 0.0642 0.2388 Np
0.1515 0.9358 0.7612 Np
0.3155 0.4486 0.9204 Cu
0.9610 0.3751 0.7030 Cu
0.5966 0.3176 0.4892 Cu
0.4034 0.6824 0.5108 Cu
0.0390 0.6249 0.2970 Cu
0.6845 0.5514 0.0796 Cu
0.4794 0.1726 0.8686 Si
0.5206 0.8274 0.1314 Si
0.8071 0.6881 0.6976 Si
0.1929 0.3119 0.3024 Si
```


Below is NpCu2Si2 after structural relaxation, with properties calculated at the PBE level.

Computed properties:
SG: I4/mmm (139)
Raw formation energy, eV per atom: -0.098
Size of the total moment, μB per cell: 0.1

```
NpCu2Si2
1.0
-0.4313 3.8928 -0.1542
-3.8889 -0.4209 0.2522
2.4597 -1.5045 4.9572
Np Si Cu
1 2 2
Direct
0.0000 0.0000 0.0000 Np
0.6152 0.6152 0.2303 Si
0.3848 0.3848 0.7697 Si
0.7500 0.2500 0.5000 Cu
0.2500 0.7500 0.5000 Cu
```


Below is NpCu2Si2 after structural relaxation, with properties calculated at the PBE level.

Computed properties:
SG: P2_1/m (11)
Raw formation energy, eV per atom: -0.229
Size of the total moment, μB per cell: 7.8

```
NpCu2Si2
1.0
4.0326 0.0000 0.0000
0.0000 4.0311 0.2074
0.0000 -0.5435 9.7380
Np Cu Si
2 4 4
Direct
0.2500 0.7477 0.2492 Np
0.7500 0.2523 0.7508 Np
0.2500 0.7606 0.8730 Cu
0.7500 0.2394 0.1270 Cu
0.2500 0.2485 0.5000 Cu
0.7500 0.7515 0.5000 Cu
0.2500 0.7499 0.6351 Si
0.7500 0.2501 0.3649 Si
0.2500 0.2614 0.9999 Si
0.7500 0.7386 0.0001 Si
```


Below is Np3Cu2Si7 after structural relaxation, with properties calculated at the PBE level.

Computed properties:
SG: P2/m (10)
Raw formation energy, eV per atom: -0.183
Size of the total moment, μB per cell: 11.6

```
Np3Cu2Si7
1.0
-2.9836 -2.0036 1.7221
-1.0517 -1.5651 -3.6431
8.1349 -8.8603 3.7856
Np Cu Si
3 2 7
Direct
0.0000 0.8127 0.6314 Np
0.0000 0.1873 0.3686 Np
0.5000 0.5000 0.0000 Np
0.5000 0.6087 0.2636 Cu
0.5000 0.3913 0.7364 Cu
0.5000 0.9255 0.8309 Si
0.5000 0.0745 0.1691 Si
0.5000 0.7266 0.4501 Si
0.5000 0.2734 0.5499 Si
0.0000 0.0000 0.0000 Si
0.0000 0.3283 0.8303 Si
0.0000 0.6717 0.1697 Si
```


Below is NpCuSi2 after structural relaxation, with properties calculated at the PBE level.

Computed properties:
SG: Pnma (62)
Raw formation energy, eV per atom: -0.090
Size of the total moment, μB per cell: 15.4

```
NpCuSi2
1.0
4.3528 0.0000 0.0000
0.0000 6.3426 0.0000
0.0000 0.0000 10.0549
Np Cu Si
4 4 8
Direct
0.7500 0.8306 0.3052 Np
0.7500 0.3306 0.1948 Np
0.2500 0.1694 0.6948 Np
0.2500 0.6694 0.8052 Np
0.2500 0.1547 0.3866 Cu
0.7500 0.8453 0.6134 Cu
0.2500 0.6547 0.1134 Cu
0.7500 0.3453 0.8866 Cu
0.7500 0.7016 0.0122 Si
0.2500 0.2984 0.9878 Si
0.7500 0.2016 0.4878 Si
0.2500 0.7984 0.5122 Si
0.7500 0.9727 0.8420 Si
0.2500 0.5273 0.3420 Si
0.7500 0.4727 0.6580 Si
0.2500 0.0273 0.1580 Si
```


Below is Sm2NpCuTe5 after structural relaxation, with properties calculated at the PBE level.

Computed properties:
SG: Cmc2_1 (36)
Raw formation energy, eV per atom: -0.953
Size of the total moment, μB per cell: 8.0

```
Sm2NpCuTe5
1.0
4.2908 0.0000 0.0000
-2.1454 9.5111 0.0000
0.0000 0.0000 12.9992
Sm Np Cu Te
4 2 2 10
Direct
0.8762 0.7525 0.8060 Sm
0.1087 0.2174 0.6843 Sm
0.1238 0.2475 0.3060 Sm
0.8913 0.7826 0.1843 Sm
0.8052 0.6103 0.5089 Np
0.1948 0.3897 0.0089 Np
0.5711 0.1421 0.9588 Cu
0.4289 0.8579 0.4588 Cu
0.3599 0.7198 0.9998 Te
0.6849 0.3697 0.8393 Te
0.4996 0.9991 0.7862 Te
0.2886 0.5772 0.6754 Te
0.9572 0.9144 0.5653 Te
0.6401 0.2802 0.4998 Te
0.3151 0.6303 0.3393 Te
0.5004 0.0009 0.2862 Te
0.7114 0.4228 0.1754 Te
0.0428 0.0856 0.0653 Te
```


Below is NpCu2Sn after structural relaxation, with properties calculated at the PBE level.

Computed properties:
ΔH_f (0 K), eV per formula unit: 1.0
SG: P4/mmm (123)
Size of the total moment, μB per cell: 4.1

```
NpCu2Sn
1.0
-2.1308 -2.3199 0.6189
1.8481 -2.1129 -1.5574
3.4822 -1.5390 6.2200
Np Sn Cu
1 1 2
Direct
0.5000 0.5000 0.5000 Np
0.5000 0.5000 0.0000 Sn
0.0000 0.0000 0.7699 Cu
0.0000 0.0000 0.2301 Cu
```


Below is NpCu2Sn after structural relaxation, with properties calculated at the PBE level.

Computed properties:
ΔH_f (0 K), eV per formula unit: 2.2
SG: R-3m (166)
Size of the total moment, μB per cell: 3.9

```
NpCu2Sn
1.0
-1.8523 0.9027 2.0722
-0.3538 -1.5800 2.4327
7.0017 5.1109 6.0929
Np Sn Cu
1 1 2
Direct
0.0000 0.0000 0.0000 Np
0.5000 0.5000 0.5000 Sn
0.0908 0.0908 0.7275 Cu
0.9092 0.9092 0.2725 Cu
```


Number 1: uncorrected energy -6.2070 eV/atom. Number 2: uncorrected energy -6.4942 eV/atom. Number 3: uncorrected energy -6.6246 eV/atom. Number 4: uncorrected energy -7.2647 eV/atom. Number 5: uncorrected energy -7.0606 eV/atom. Number 6: uncorrected energy -5.6398 eV/atom. Number 7: uncorrected energy -6.0373 eV/atom. Number 8: uncorrected energy -5.7332 eV/atom.